Entry 1:
Computed, not measured: NpGa2Ag after structural relaxation at the PBE-GGA level of DFT.

It has space group P4/mmm (No. 123), with a = 5.281 Å, b = 5.281 Å, c = 2.781 Å, α = 90.00°, β = 90.00° and γ = 90.00°. Symmetry generates all atoms from Np at (0.000, 0.000, 0.000), Ga at (0.000, 0.500, 0.500) and Ag at (0.500, 0.500, 0.000).

The value obtained for the theoretical density is 10370 kg/m3. As for the total magnetic moment: 3.58 μB per formula unit. As for the energy of formation: 0.005 eV/atom. For the relative energy among the computed polymorphs, the calculation gives 0 meV/atom. The total energy is -21.83 eV/f.u.


Entry 2:
Computed, not measured: NpGa2Ag after structural relaxation at the PBE-GGA level of DFT.

It has space group P4/mmm (No. 123), with a = 2.719 Å, b = 2.719 Å, c = 9.275 Å, α = 90.00°, β = 90.00° and γ = 90.00°. Symmetry generates all atoms from Np at (0.000, 0.000, 0.000), Ga at (0.500, 0.500, 0.256) and Ag at (0.000, 0.000, 0.500).

The value obtained for the theoretical density is 11725 kg/m3. As for the total magnetic moment: 0.00 μB per formula unit. As for the energy of formation: 0.040 eV/atom. For the relative energy among the computed polymorphs, the calculation gives 35 meV/atom. The total energy is -21.69 eV/f.u.


Entry 3:
Computed, not measured: NpGaAgO6 after structural relaxation at the PBE-GGA level of DFT.

It has space group P-31c (No. 163), with a = 5.3332 Å, b = 5.3332 Å, c = 9.6151 Å, α = 90.00°, β = 90.00° and γ = 120.00°. Symmetry generates all atoms from Np at (0.3333, 0.6667, 0.2500), Ga at (0.3333, 0.6667, 0.7500), Ag at (0.0000, 0.0000, 0.0000) and O at (0.0026, 0.3593, 0.6384).

The value obtained for the theoretical density is 7160 kg/m3. As for the total magnetic moment: 0.86 μB per formula unit. The total energy is -63.10 eV/f.u.


Entry 4:
Computed, not measured: NpGa2AgO8 after structural relaxation at the PBE-GGA level of DFT.

It has space group P-1 (No. 2), with a = 4.826 Å, b = 4.853 Å, c = 6.297 Å, α = 86.24°, β = 86.17° and γ = 86.49°. Symmetry generates all atoms from Np at (0.000, 0.000, 0.000), Ga at (0.477, 0.477, 0.261), Ag at (0.000, 0.000, 0.500), O at (0.201, 0.192, 0.245), O at (0.221, 0.211, 0.802), O at (0.307, 0.685, 0.001) and O at (0.309, 0.679, 0.501).

The value obtained for the theoretical density is 6936 kg/m3. As for the total magnetic moment: 0.00 μB per formula unit. The total energy is -80.41 eV/f.u.


Entry 5:
Computed, not measured: NpGaAgSn after structural relaxation at the PBE-GGA level of DFT.

It has space group F-43m (No. 216), with a = 7.093 Å, b = 7.093 Å, c = 7.093 Å, α = 90.00°, β = 90.00° and γ = 90.00°. Symmetry generates all atoms from Np at (0.000, 0.000, 0.000), Ga at (0.250, 0.250, 0.750), Ag at (0.000, 0.000, 0.500) and Sn at (0.250, 0.250, 0.250).

The value obtained for the theoretical density is 9925 kg/m3. As for the total magnetic moment: 4.41 μB per formula unit. As for the energy of formation: 0.083 eV/atom. The total energy is -22.49 eV/f.u.


Entry 6:
Computed, not measured: GaAgO2 after structural relaxation at the PBE-GGA level of DFT.

It has space group Fm-3m (No. 225), with a = 5.646 Å, b = 5.646 Å, c = 5.646 Å, α = 90.00°, β = 90.00° and γ = 90.00°. Symmetry generates all atoms from Ga at (0.000, 0.000, 0.000), Ag at (0.000, 0.000, 0.500) and O at (0.250, 0.250, 0.250).

The value obtained for the theoretical density is 7736 kg/m3. As for the total magnetic moment: 0.00 μB per formula unit. The total energy is -16.71 eV/f.u.


Entry 7:
Computed, not measured: GaAgO2 after structural relaxation at the PBE-GGA level of DFT.

It has space group R3m (No. 160, hexagonal axes), with a = 3.0095 Å, b = 3.0095 Å, c = 18.5985 Å, α = 90.00°, β = 90.00° and γ = 120.00°. Symmetry generates all atoms from Ga at (0.0000, 0.0000, 0.0000), Ag at (0.0000, 0.0000, 0.8379), O at (0.0000, 0.0000, 0.2748) and O at (0.0000, 0.0000, 0.7200).

The value obtained for the theoretical density is 7157 kg/m3. As for the total magnetic moment: 0.00 μB per formula unit. The total energy is -20.38 eV/f.u.


Entry 8:
Computed, not measured: Ga3AgO after structural relaxation at the PBE-GGA level of DFT.

It has space group Pm-3m (No. 221), with a = 4.872 Å, b = 4.872 Å, c = 4.872 Å, α = 90.00°, β = 90.00° and γ = 90.00°. Symmetry generates all atoms from Ga at (0.000, 0.000, 0.500), Ag at (0.000, 0.000, 0.000) and O at (0.500, 0.500, 0.500).

The value obtained for the theoretical density is 4783 kg/m3. As for the total magnetic moment: 0.00 μB per formula unit. For the relative energy among the computed polymorphs, the calculation gives 631 meV/atom. The total energy is -14.37 eV/f.u.


Q: Which of these has the highest theoretical density?
A: number 2


Q: What is the theoretical density in the eighth record?
A: 4783 kg/m3